DFT (PBE) results for a relaxed structure of AlCuSi.

As for the space group: P2_1/m (11). The value obtained for the raw formation energy is 0.006 eV per atom. For the raw total energy, the calculation gives -4.41 eV per atom.

Cell lengths 5.1815, 5.7811, 2.9842 Å; angles 105.14, 90.00, 90.00 degrees
Closest atoms and distances in Å follow each position.
Positions (direct):
Al: 0.4099 0.7898 0.3575  4 Si 2.60-2.67, 4 Cu 2.66-2.67
Al: 0.9099 0.1500 0.0370  4 Si 2.60-2.67, 4 Cu 2.66-2.67
Cu: 0.6595 0.4699 0.6970  4 Si 2.53-2.54, 2 Cu 2.59, 4 Al 2.66-2.67
Cu: 0.1595 0.4699 0.6970  4 Si 2.53-2.54, 2 Cu 2.59, 4 Al 2.66-2.67
Si: 0.9099 0.7536 0.3390  4 Cu 2.53-2.54, 4 Al 2.60-2.67
Si: 0.4099 0.1862 0.0554  4 Cu 2.53-2.54, 4 Al 2.60-2.67

***

DFT (PBE) results for a relaxed structure of AlCuSi.

As for the space group: P6_3mc (186). The value obtained for the raw formation energy is 0.050 eV per atom. For the raw total energy, the calculation gives -4.37 eV per atom.

Cell lengths 3.9427, 3.9427, 7.1921 Å; angles 90.00, 90.00, 120.00 degrees
Closest atoms and distances in Å follow each position.
Positions (direct):
Al: 0.6667 0.3333 0.7896  4 Cu 2.45-2.55
Al: 0.3333 0.6667 0.2896  4 Cu 2.45-2.55
Cu: 0.6667 0.3333 0.1296  3 Si 2.31, 4 Al 2.45-2.55
Cu: 0.3333 0.6667 0.6296  3 Si 2.31, 4 Al 2.45-2.55
Si: 0.0000 0.0000 0.5745  3 Cu 2.31
Si: 0.0000 0.0000 0.0745  3 Cu 2.31

***

DFT (PBE) results for a relaxed structure of Al6CuSi.

Its offset from the most stable computed form is 0 meV per atom. As for the space group: P4/mmm (123). The value obtained for the raw formation energy is 0.176 eV per atom. For the raw total energy, the calculation gives -3.82 eV per atom.

Cell lengths 3.9727, 3.9727, 9.0520 Å; angles 90.00, 90.00, 90.00 degrees
Closest atoms and distances in Å follow each position.
Positions (direct):
Al: 0.5000 0.5000 0.1365  5 Al 2.47-2.69
Al: 0.5000 0.0000 0.6638  2 Cu 2.48, 2 Al 2.69
Al: 0.0000 0.5000 0.3362  2 Cu 2.48, 2 Al 2.69
Al: 0.0000 0.5000 0.6638  2 Cu 2.48, 2 Al 2.69
Al: 0.5000 0.5000 0.8635  5 Al 2.47-2.69
Al: 0.5000 0.0000 0.3362  2 Cu 2.48, 2 Al 2.69
Si: 0.0000 0.0000 0.0000  8 Al 3.07
Cu: 0.0000 0.0000 0.5000  8 Al 2.48

***

DFT (PBE) results for a relaxed structure of AlCuSi4.

Its offset from the most stable computed form is 82 meV per atom. As for the space group: Pmma (51). The value obtained for the raw formation energy is 0.337 eV per atom. For the raw total energy, the calculation gives -4.58 eV per atom.

Cell lengths 3.4348, 7.3957, 7.3627 Å; angles 90.00, 90.00, 90.00 degrees
Closest atoms and distances in Å follow each position.
Positions (direct):
Si: 0.5000 0.0826 0.7500  6 Si 2.58-2.59, 2 Cu 2.59
Si: 0.5000 0.3380 0.9881  2 Si 2.40-2.58, 2 Cu 2.45, 2 Al 2.62
Si: 0.0000 0.0000 0.0000  4 Si 2.59, 2 Al 2.76
Si: 0.5000 0.6620 0.4881  2 Si 2.40-2.58, 2 Cu 2.45, 2 Al 2.62
Si: 0.0000 0.0000 0.5000  4 Si 2.59, 2 Al 2.76
Si: 0.5000 0.3380 0.5119  2 Si 2.40-2.58, 2 Cu 2.45, 2 Al 2.62
Si: 0.5000 0.6620 0.0119  2 Si 2.40-2.58, 2 Cu 2.45, 2 Al 2.62
Si: 0.5000 0.9174 0.2500  6 Si 2.58-2.59, 2 Cu 2.59
Cu: 0.0000 0.6554 0.2500  6 Si 2.45-2.59
Cu: 0.0000 0.3446 0.7500  6 Si 2.45-2.59
Al: 0.0000 0.7226 0.7500  6 Si 2.62-2.76, 1 Cu 2.80
Al: 0.0000 0.2774 0.2500  6 Si 2.62-2.76, 1 Cu 2.80

***

DFT (PBE) results for a relaxed structure of Al3Cu3Si2.

Its offset from the most stable computed form is 125 meV per atom. As for the space group: P6_3/mcm (193). The value obtained for the raw formation energy is 0.143 eV per atom. For the raw total energy, the calculation gives -4.15 eV per atom.

Cell lengths 7.8625, 7.8625, 4.4985 Å; angles 90.00, 90.00, 120.00 degrees
Closest atoms and distances in Å follow each position.
Positions (direct):
Al: 0.6214 0.6214 0.7500  4 Cu 2.58-2.70, 4 Si 2.71
Al: 0.6214 0.0000 0.2500  4 Cu 2.58-2.70, 4 Si 2.71
Al: 0.3786 0.0000 0.7500  4 Cu 2.58-2.70, 4 Si 2.71
Al: 0.0000 0.3786 0.7500  4 Cu 2.58-2.70, 4 Si 2.71
Al: 0.3786 0.3786 0.2500  4 Cu 2.58-2.70, 4 Si 2.71
Al: 0.0000 0.6214 0.2500  4 Cu 2.58-2.70, 4 Si 2.71
Cu: 0.0000 0.8122 0.7500  6 Cu 2.56-2.69, 4 Al 2.58-2.70
Cu: 0.1878 0.1878 0.7500  6 Cu 2.56-2.69, 4 Al 2.58-2.70
Cu: 0.0000 0.1878 0.2500  6 Cu 2.56-2.69, 4 Al 2.58-2.70
Cu: 0.8122 0.8122 0.2500  6 Cu 2.56-2.69, 4 Al 2.58-2.70
Cu: 0.1878 0.0000 0.2500  6 Cu 2.56-2.69, 4 Al 2.58-2.70
Cu: 0.8122 0.0000 0.7500  6 Cu 2.56-2.69, 4 Al 2.58-2.70
Si: 0.6667 0.3333 0.0000  2 Si 2.25
Si: 0.6667 0.3333 0.5000  2 Si 2.25
Si: 0.3333 0.6667 0.0000  2 Si 2.25
Si: 0.3333 0.6667 0.5000  2 Si 2.25

***

DFT (PBE) results for a relaxed structure of AlCuSi2.

As for the space group: Cmcm (63). The value obtained for the raw formation energy is 0.172 eV per atom. For the raw total energy, the calculation gives -4.50 eV per atom.

Cell lengths 4.7438, 4.7438, 7.4565 Å; angles 90.00, 90.00, 134.98 degrees
Closest atoms and distances in Å follow each position.
Positions (direct):
Cu: 0.2719 0.7281 0.7500  6 Si 2.43-2.54, 3 Al 2.50-2.61
Cu: 0.7281 0.2719 0.2500  6 Si 2.43-2.54, 3 Al 2.50-2.61
Si: 0.1379 0.8621 0.0360  3 Cu 2.43-2.54, 1 Si 2.48
Si: 0.8621 0.1379 0.9640  3 Cu 2.43-2.54, 1 Si 2.48
Si: 0.8621 0.1379 0.5360  3 Cu 2.43-2.54, 1 Si 2.48
Si: 0.1379 0.8621 0.4640  3 Cu 2.43-2.54, 1 Si 2.48
Al: 0.5574 0.4426 0.7500  3 Cu 2.50-2.61
Al: 0.4426 0.5574 0.2500  3 Cu 2.50-2.61

***

DFT (PBE) results for a relaxed structure of Al3Cu3Si.

Its offset from the most stable computed form is 0 meV per atom. As for the space group: P6_3/m (176). The value obtained for the raw formation energy is -0.025 eV per atom. For the raw total energy, the calculation gives -4.16 eV per atom.

Cell lengths 6.9950, 6.9949, 4.5802 Å; angles 90.00, 90.00, 120.02 degrees
Closest atoms and distances in Å follow each position.
Positions (direct):
Cu: 0.9517 0.1935 0.7500  5 Al 2.52-2.75, 1 Si 2.62, 6 Cu 2.68-2.77
Cu: 0.2415 0.0482 0.7500  5 Al 2.52-2.75, 1 Si 2.62, 6 Cu 2.68-2.77
Cu: 0.8066 0.7583 0.7500  5 Al 2.52-2.75, 1 Si 2.62, 6 Cu 2.68-2.77
Cu: 0.7585 0.9518 0.2500  5 Al 2.52-2.75, 1 Si 2.62, 6 Cu 2.68-2.77
Cu: 0.1934 0.2417 0.2500  5 Al 2.52-2.75, 1 Si 2.62, 6 Cu 2.68-2.77
Cu: 0.0483 0.8065 0.2500  5 Al 2.52-2.75, 1 Si 2.62, 6 Cu 2.68-2.77
Al: 0.9036 0.3618 0.2500  5 Cu 2.52-2.75, 3 Si 2.68-2.78, 2 Al 2.71-2.72
Al: 0.6382 0.5418 0.2500  5 Cu 2.52-2.75, 3 Si 2.68-2.78, 2 Al 2.71-2.72
Al: 0.5419 0.9035 0.7500  5 Cu 2.52-2.75, 3 Si 2.68-2.77, 2 Al 2.71
Al: 0.4581 0.0965 0.2500  5 Cu 2.52-2.75, 3 Si 2.68-2.77, 2 Al 2.71
Al: 0.3618 0.4582 0.7500  5 Cu 2.52-2.75, 3 Si 2.68-2.78, 2 Al 2.71-2.72
Al: 0.0964 0.6382 0.7500  5 Cu 2.52-2.75, 3 Si 2.68-2.78, 2 Al 2.71-2.72
Si: 0.3335 0.6669 0.2500  3 Cu 2.62, 9 Al 2.68-2.78
Si: 0.6665 0.3331 0.7500  3 Cu 2.62, 9 Al 2.68-2.78

***

DFT (PBE) results for a relaxed structure of AlCu2Si2.

As for the space group: P4/mbm (127). The value obtained for the raw formation energy is 0.249 eV per atom. For the raw total energy, the calculation gives -4.31 eV per atom.

Cell lengths 6.4121, 6.4121, 3.6240 Å; angles 90.00, 90.00, 90.00 degrees
Closest atoms and distances in Å follow each position.
Positions (direct):
Cu: 0.1899 0.3101 0.5000  6 Si 2.46-2.75
Cu: 0.3101 0.8101 0.5000  6 Si 2.46-2.75
Cu: 0.6899 0.1899 0.5000  6 Si 2.46-2.75
Cu: 0.8101 0.6899 0.5000  6 Si 2.46-2.75
Si: 0.3732 0.1268 0.0000  1 Si 2.30, 2 Cu 2.46, 2 Al 2.53
Si: 0.6268 0.8732 0.0000  1 Si 2.30, 2 Cu 2.46, 2 Al 2.53
Si: 0.1268 0.6268 0.0000  1 Si 2.30, 2 Cu 2.46, 2 Al 2.53
Si: 0.8732 0.3732 0.0000  1 Si 2.30, 2 Cu 2.46, 2 Al 2.53
Al: 0.5000 0.5000 0.0000  4 Si 2.53
Al: 0.0000 0.0000 0.0000  4 Si 2.53